No. 1
Density functional theory data (PBE) for crystalline RbThMg at its relaxed geometry.

The value obtained for the total energy is -2.16 eV per atom. Its crystal system is cubic.

It has space group F-43m (No. 216), with a = 8.0596 Å, b = 8.0596 Å, c = 8.0596 Å, α = 90.00°, β = 90.00° and γ = 90.00°. The inequivalent atoms are Rb at (0.0000, 0.0000, 0.0000), Th at (0.0000, 0.0000, 0.5000) and Mg at (0.2500, 0.2500, 0.2500).

No. 2
Density functional theory data (PBE) for crystalline RbTmMg at its relaxed geometry.

The value obtained for the total energy is -1.17 eV per atom. Its crystal system is cubic.

It has space group F-43m (No. 216), with a = 8.1562 Å, b = 8.1562 Å, c = 8.1562 Å, α = 90.00°, β = 90.00° and γ = 90.00°. The inequivalent atoms are Rb at (0.0000, 0.0000, 0.0000), Tm at (0.2500, 0.2500, 0.2500) and Mg at (0.2500, 0.2500, 0.7500).

No. 3
Density functional theory data (PBE) for crystalline RbTmMg at its relaxed geometry.

The value obtained for the total energy is -1.53 eV per atom. Its crystal system is cubic.

It has space group F-43m (No. 216), with a = 8.1670 Å, b = 8.1670 Å, c = 8.1670 Å, α = 90.00°, β = 90.00° and γ = 90.00°. The inequivalent atoms are Rb at (0.0000, 0.0000, 0.0000), Tm at (0.0000, 0.0000, 0.5000) and Mg at (0.2500, 0.2500, 0.2500).

No. 4
Density functional theory data (PBE) for crystalline RbMgU at its relaxed geometry.

The value obtained for the total energy is -2.79 eV per atom. Its crystal system is cubic.

It has space group F-43m (No. 216), with a = 8.1438 Å, b = 8.1438 Å, c = 8.1438 Å, α = 90.00°, β = 90.00° and γ = 90.00°. The inequivalent atoms are Rb at (0.0000, 0.0000, 0.0000), Mg at (0.0000, 0.0000, 0.5000) and U at (0.2500, 0.2500, 0.7500).

No. 5
Density functional theory data (PBE) for crystalline RbMgU at its relaxed geometry.

The value obtained for the total energy is -2.64 eV per atom. Its crystal system is cubic.

It has space group F-43m (No. 216), with a = 8.0830 Å, b = 8.0830 Å, c = 8.0830 Å, α = 90.00°, β = 90.00° and γ = 90.00°. The inequivalent atoms are Rb at (0.0000, 0.0000, 0.0000), Mg at (0.2500, 0.2500, 0.7500) and U at (0.2500, 0.2500, 0.2500).

No. 6
Density functional theory data (PBE) for crystalline Rb2Mg2Zn3 at its relaxed geometry.

The value obtained for the total energy is -1.12 eV per atom. Its crystal system is trigonal.

It has space group R3m (No. 160, hexagonal axes), with a = 4.7284 Å, b = 4.7284 Å, c = 34.7839 Å, α = 90.00°, β = 90.00° and γ = 120.00°. The inequivalent atoms are Rb at (0.0000, 0.0000, 0.0000), Rb at (0.0000, 0.0000, 0.4944), Mg at (0.0000, 0.0000, 0.2477), Mg at (0.0000, 0.0000, 0.7456), Zn at (0.0000, 0.0000, 0.3979), Zn at (0.0000, 0.0000, 0.5897) and Zn at (0.0000, 0.0000, 0.9039).

No. 7
Density functional theory data (PBE) for crystalline RbMgZr at its relaxed geometry.

The polymorph energy (0 for the lowest one) comes out at 414 meV per atom. The value obtained for the total energy is -1.95 eV per atom. Its crystal system is cubic.

It has space group F-43m (No. 216), with a = 7.9221 Å, b = 7.9221 Å, c = 7.9221 Å, α = 90.00°, β = 90.00° and γ = 90.00°. The inequivalent atoms are Rb at (0.0000, 0.0000, 0.0000), Mg at (0.2500, 0.2500, 0.7500) and Zr at (0.2500, 0.2500, 0.2500).

No. 8
Density functional theory data (PBE) for crystalline RbMgZr at its relaxed geometry.

The polymorph energy (0 for the lowest one) comes out at 0 meV per atom. The value obtained for the total energy is -2.37 eV per atom. Its crystal system is cubic.

It has space group F-43m (No. 216), with a = 7.8855 Å, b = 7.8855 Å, c = 7.8855 Å, α = 90.00°, β = 90.00° and γ = 90.00°. The inequivalent atoms are Rb at (0.0000, 0.0000, 0.0000), Mg at (0.2500, 0.2500, 0.2500) and Zr at (0.0000, 0.0000, 0.5000).

No. 9
Density functional theory data (PBE) for crystalline Mg2Re at its relaxed geometry.

The polymorph energy (0 for the lowest one) comes out at 2258 meV per atom. The value obtained for the total energy is -2.68 eV per atom. Its crystal system is cubic.

It has space group Fd-3m (No. 227, origin choice 2), with a = 12.5974 Å, b = 12.5974 Å, c = 12.5974 Å, α = 90.00°, β = 90.00° and γ = 90.00°. The inequivalent atoms are Mg at (0.0000, 0.0000, 0.0000) and Re at (0.1250, 0.1250, 0.1250).

No. 10
Density functional theory data (PBE) for crystalline Mg2Re at its relaxed geometry.

The polymorph energy (0 for the lowest one) comes out at 539 meV per atom. The value obtained for the total energy is -4.40 eV per atom. Its crystal system is hexagonal.

It has space group P6_3/mmc (No. 194), with a = 5.2348 Å, b = 5.2348 Å, c = 8.2768 Å, α = 90.00°, β = 90.00° and γ = 120.00°. The inequivalent atoms are Mg at (0.0000, 0.0000, 0.0000), Mg at (0.1742, 0.3485, 0.2500) and Re at (0.3333, 0.6667, 0.5608).

No. 11
Density functional theory data (PBE) for crystalline Mg2Re at its relaxed geometry.

The polymorph energy (0 for the lowest one) comes out at 0 meV per atom. The value obtained for the total energy is -4.94 eV per atom. Its crystal system is orthorhombic.

It has space group Cmcm (No. 63), with a = 8.9195 Å, b = 5.2725 Å, c = 4.4817 Å, α = 90.00°, β = 90.00° and γ = 90.00°. The inequivalent atoms are Mg at (0.1631, 0.1598, 0.2500) and Re at (0.0000, 0.3850, 0.7500).

No. 12
Density functional theory data (PBE) for crystalline MgRe2 at its relaxed geometry.

The polymorph energy (0 for the lowest one) comes out at 0 meV per atom. The value obtained for the total energy is -8.62 eV per atom. Its crystal system is hexagonal.

It has space group P6_3/mmc (No. 194), with a = 5.2491 Å, b = 5.2491 Å, c = 8.4518 Å, α = 90.00°, β = 90.00° and γ = 120.00°. The inequivalent atoms are Mg at (0.3333, 0.6667, 0.0630), Re at (0.0000, 0.0000, 0.0000) and Re at (0.1735, 0.3469, 0.7500).

No. 13
Density functional theory data (PBE) for crystalline Mg2Re at its relaxed geometry.

The polymorph energy (0 for the lowest one) comes out at 145 meV per atom. The value obtained for the total energy is -4.80 eV per atom. Its crystal system is orthorhombic.

It has space group Cmcm (No. 63), with a = 2.6901 Å, b = 15.7957 Å, c = 4.7749 Å, α = 90.00°, β = 90.00° and γ = 90.00°. The inequivalent atoms are Mg at (0.0000, 0.0488, 0.2500), Mg at (0.0000, 0.2818, 0.7500) and Re at (0.0000, 0.3812, 0.2500).

No. 14
Density functional theory data (PBE) for crystalline Mg3Re at its relaxed geometry.

The polymorph energy (0 for the lowest one) comes out at 171 meV per atom. The value obtained for the total energy is -3.84 eV per atom. Its crystal system is hexagonal.

It has space group P6_3/mmc (No. 194), with a = 5.8721 Å, b = 5.8721 Å, c = 4.7930 Å, α = 90.00°, β = 90.00° and γ = 120.00°. The inequivalent atoms are Mg at (0.1742, 0.3484, 0.2500) and Re at (0.3333, 0.6667, 0.7500).

No. 15
Density functional theory data (PBE) for crystalline Mg2Re at its relaxed geometry.

The polymorph energy (0 for the lowest one) comes out at 57 meV per atom. The value obtained for the total energy is -4.88 eV per atom. Its crystal system is orthorhombic.

It has space group Pmmn (No. 59, origin choice 2), with a = 4.7524 Å, b = 8.2791 Å, c = 5.2821 Å, α = 90.00°, β = 90.00° and γ = 90.00°. The inequivalent atoms are Mg at (0.2500, 0.0754, 0.1194), Mg at (0.2500, 0.2500, 0.5962), Mg at (0.2500, 0.7500, 0.0769) and Re at (0.2500, 0.6000, 0.5808).

No. 16
Density functional theory data (PBE) for crystalline Mg2Re at its relaxed geometry.

The polymorph energy (0 for the lowest one) comes out at 128 meV per atom. The value obtained for the total energy is -4.81 eV per atom. Its crystal system is hexagonal.

It has space group P-62m (No. 189), with a = 4.9599 Å, b = 4.9599 Å, c = 4.7794 Å, α = 90.00°, β = 90.00° and γ = 120.00°. The inequivalent atoms are Mg at (0.0000, 0.0000, 0.0000), Mg at (0.0000, 0.3544, 0.5000) and Re at (0.3333, 0.6667, 0.0000).

No. 17
Density functional theory data (PBE) for crystalline Mg2Re at its relaxed geometry.

The polymorph energy (0 for the lowest one) comes out at 58 meV per atom. The value obtained for the total energy is -4.88 eV per atom. Its crystal system is orthorhombic.

It has space group Cmcm (No. 63), with a = 2.8755 Å, b = 16.4083 Å, c = 4.5503 Å, α = 90.00°, β = 90.00° and γ = 90.00°. The inequivalent atoms are Mg at (0.0000, 0.1077, 0.2500), Mg at (0.0000, 0.2059, 0.7500) and Re at (0.0000, 0.4621, 0.2500).

No. 18
Density functional theory data (PBE) for crystalline Mg3Re at its relaxed geometry.

The polymorph energy (0 for the lowest one) comes out at 166 meV per atom. The value obtained for the total energy is -3.85 eV per atom. Its crystal system is orthorhombic.

It has space group Pmmn (No. 59, origin choice 2), with a = 4.7830 Å, b = 5.7832 Å, c = 5.1351 Å, α = 90.00°, β = 90.00° and γ = 90.00°. The inequivalent atoms are Mg at (0.2500, 0.0024, 0.1625), Mg at (0.2500, 0.7500, 0.6415) and Re at (0.2500, 0.2500, 0.6584).

No. 19
Density functional theory data (PBE) for crystalline Mg3Re at its relaxed geometry.

The polymorph energy (0 for the lowest one) comes out at 0 meV per atom. The value obtained for the total energy is -4.02 eV per atom. Its crystal system is orthorhombic.

It has space group Cmcm (No. 63), with a = 5.8118 Å, b = 10.9135 Å, c = 4.6248 Å, α = 90.00°, β = 90.00° and γ = 90.00°. The inequivalent atoms are Mg at (0.0000, 0.0770, 0.2500), Mg at (0.2433, 0.3264, 0.2500) and Re at (0.0000, 0.4461, 0.7500).

No. 20
Density functional theory data (PBE) for crystalline Mg2Re at its relaxed geometry.

The polymorph energy (0 for the lowest one) comes out at 556 meV per atom. The value obtained for the total energy is -4.38 eV per atom. Its crystal system is tetragonal.

It has space group P4_2/mnm (No. 136), with a = 6.7554 Å, b = 6.7554 Å, c = 2.6547 Å, α = 90.00°, β = 90.00° and γ = 90.00°. The inequivalent atoms are Mg at (0.2389, 0.2389, 0.0000) and Re at (0.0000, 0.0000, 0.5000).